# Mo3As

A crystal of Mo3As relaxed with PBEsol (SCAN, Alexandria).

Output
E_tot, eV per atom: -31.097
Crystal system: orthorhombic
Total moment, μB/f.u.: 0.00
Mass density, g/cm³: 10.00
DFT formation energy, eV/atom: 0.115

a = 3.139 Å, b = 4.518 Å, c = 4.248 Å
α = 90.00°, β = 90.00°, γ = 90.00°
Sites, in units of the cell vectors:
Mo 0.000 0.000 0.000
Mo 0.000 0.500 0.387
Mo 0.500 0.500 0.872
As 0.500 0.000 0.478

# MoAs7

A crystal of MoAs7 relaxed with PBEsol (SCAN, Alexandria).

Output
E_tot, eV per atom: -21.498
Crystal system: cubic
Total moment, μB/f.u.: 2.01
Mass density, g/cm³: 7.29
DFT formation energy, eV/atom: 0.529

a = 5.846 Å, b = 5.846 Å, c = 5.846 Å
α = 60.00°, β = 60.00°, γ = 60.00°
Sites, in units of the cell vectors:
Mo 0.000 0.000 0.000
As 0.000 0.000 0.500
As 0.000 0.500 0.000
As 0.000 0.500 0.500
As 0.500 0.000 0.000
As 0.500 0.000 0.500
As 0.500 0.500 0.000
As 0.500 0.500 0.500

# MoAs3

A crystal of MoAs3 relaxed with PBEsol (SCAN, Alexandria).

Output
E_tot, eV per atom: -23.370
Crystal system: tetragonal
Polymorph energy (0 for the lowest one), eV per atom: 0.098
Total moment, μB/f.u.: 0.00
Mass density, g/cm³: 8.10
DFT formation energy, eV/atom: 0.495

a = 4.868 Å, b = 4.868 Å, c = 4.868 Å
α = 130.16°, β = 130.16°, γ = 73.16°
Sites, in units of the cell vectors:
Mo 0.000 0.000 0.000
As 0.250 0.750 0.500
As 0.500 0.500 0.000
As 0.750 0.250 0.500

# NaMoAs2Se

A crystal of NaMoAs2Se relaxed with PBEsol (SCAN, Alexandria).

Output
E_tot, eV per atom: -19.882
Crystal system: tetragonal
Formation energy without anion corrections, kJ/mol of atoms: 3
Total moment, μB/f.u.: 0.00
Mass density, g/cm³: 4.88

a = 4.858 Å, b = 4.858 Å, c = 5.013 Å
α = 90.00°, β = 90.00°, γ = 90.00°
Sites, in units of the cell vectors:
Na 0.000 0.000 0.000
Mo 0.500 0.500 0.500
As 0.000 0.500 0.500
As 0.500 0.000 0.500
Se 0.500 0.500 0.000

# Ni2MoAs

A crystal of Ni2MoAs relaxed with PBEsol (SCAN, Alexandria).

Output
E_tot, eV per atom: -21.854
Crystal system: orthorhombic
Total moment, μB/f.u.: 0.00
Mass density, g/cm³: 9.54
DFT formation energy, eV/atom: 0.001

a = 3.242 Å, b = 3.925 Å, c = 3.944 Å
α = 90.00°, β = 90.00°, γ = 90.00°
Sites, in units of the cell vectors:
Ni 0.000 0.000 0.000
Ni 0.500 0.500 0.000
Mo 0.000 0.500 0.500
As 0.500 0.000 0.500

# NiMo2As

A crystal of NiMo2As relaxed with PBEsol (SCAN, Alexandria).

Output
E_tot, eV per atom: -26.363
Crystal system: orthorhombic
Total moment, μB/f.u.: 0.00
Mass density, g/cm³: 9.49
DFT formation energy, eV/atom: 0.170

a = 2.751 Å, b = 2.751 Å, c = 7.837 Å
α = 90.00°, β = 90.00°, γ = 106.11°
Sites, in units of the cell vectors:
Ni 0.000 0.000 0.000
Mo 0.000 0.000 0.488
Mo 0.500 0.500 0.757
As 0.500 0.500 0.223

# Ni2MoAs

A crystal of Ni2MoAs relaxed with PBEsol (SCAN, Alexandria).

Output
E_tot, eV per atom: -21.829
Crystal system: orthorhombic
Total moment, μB/f.u.: 0.00
Mass density, g/cm³: 9.50
DFT formation energy, eV/atom: 0.027

a = 2.755 Å, b = 3.282 Å, c = 5.571 Å
α = 90.00°, β = 90.00°, γ = 90.00°
Sites, in units of the cell vectors:
Ni 0.000 0.000 0.000
Ni 0.500 0.500 0.228
Mo 0.500 0.500 0.749
As 0.000 0.000 0.447

# NiMo2As

A crystal of NiMo2As relaxed with PBEsol (SCAN, Alexandria).

Output
E_tot, eV per atom: -26.459
Crystal system: tetragonal
Total moment, μB/f.u.: 0.00
Mass density, g/cm³: 9.88
DFT formation energy, eV/atom: 0.075

a = 4.372 Å, b = 4.372 Å, c = 2.861 Å
α = 90.00°, β = 90.00°, γ = 90.00°
Sites, in units of the cell vectors:
Ni 0.000 0.000 0.000
Mo 0.000 0.500 0.500
Mo 0.500 0.000 0.500
As 0.500 0.500 0.000

# NiMo2As

A crystal of NiMo2As relaxed with PBEsol (SCAN, Alexandria).

Output
E_tot, eV per atom: -26.563
Crystal system: orthorhombic
Total moment, μB/f.u.: 0.00
Mass density, g/cm³: 9.90
DFT formation energy, eV/atom: -0.029

a = 4.874 Å, b = 4.874 Å, c = 4.874 Å
α = 142.27°, β = 128.64°, γ = 65.46°
Sites, in units of the cell vectors:
Ni 0.000 0.000 0.000
Mo 0.460 0.460 0.000
Mo 0.736 0.236 0.500
As 0.208 0.708 0.500

# NiMoAs2Se

A crystal of NiMoAs2Se relaxed with PBEsol (SCAN, Alexandria).

Output
E_tot, eV per atom: -21.419
Crystal system: tetragonal
Formation energy without anion corrections, kJ/mol of atoms: 85
Total moment, μB/f.u.: 1.01
Mass density, g/cm³: 5.81

a = 4.793 Å, b = 4.793 Å, c = 4.771 Å
α = 90.00°, β = 90.00°, γ = 90.00°
Sites, in units of the cell vectors:
Ni 0.000 0.000 0.000
Mo 0.500 0.500 0.500
As 0.000 0.500 0.500
As 0.500 0.000 0.500
Se 0.500 0.500 0.000

# MoAs2O7

A crystal of MoAs2O7 relaxed with PBEsol (SCAN, Alexandria).

Output
E_tot, eV per atom: -13.428
Crystal system: monoclinic
Formation energy without anion corrections, kJ/mol of atoms: -149
Total moment, μB/f.u.: 0.00
Mass density, g/cm³: 3.77

a = 7.484 Å, b = 8.358 Å, c = 10.118 Å
α = 90.00°, β = 95.65°, γ = 90.00°
Sites, in units of the cell vectors:
Mo 0.170 0.070 0.306
Mo 0.170 0.430 0.806
Mo 0.830 0.570 0.194
Mo 0.830 0.930 0.694
As 0.187 0.711 0.495
As 0.187 0.789 0.995
As 0.441 0.746 0.258
As 0.441 0.754 0.758
As 0.559 0.246 0.242
As 0.559 0.254 0.742
As 0.813 0.211 0.005
As 0.813 0.289 0.505
O 0.014 0.063 0.172
O 0.014 0.437 0.672
O 0.085 0.196 0.418
O 0.085 0.304 0.918
O 0.126 0.623 0.891
O 0.126 0.877 0.391
O 0.323 0.656 0.122
O 0.323 0.844 0.622
O 0.334 0.239 0.256
O 0.334 0.261 0.756
O 0.392 0.659 0.404
O 0.392 0.841 0.904
O 0.393 0.554 0.753
O 0.393 0.946 0.253
O 0.607 0.054 0.747
O 0.607 0.446 0.247
O 0.608 0.159 0.096
O 0.608 0.341 0.596
O 0.666 0.739 0.244
O 0.666 0.761 0.744
O 0.677 0.156 0.378
O 0.677 0.344 0.878
O 0.874 0.123 0.609
O 0.874 0.377 0.109
O 0.915 0.696 0.082
O 0.915 0.804 0.582
O 0.986 0.563 0.328
O 0.986 0.937 0.828

# RbMoAsO6

A crystal of RbMoAsO6 relaxed with PBEsol (SCAN, Alexandria).

Output
E_tot, eV per atom: -14.461
Crystal system: orthorhombic
Formation energy without anion corrections, kJ/mol of atoms: -182
Total moment, μB/f.u.: 0.00
Mass density, g/cm³: 4.03

a = 10.368 Å, b = 9.856 Å, c = 8.489 Å
α = 68.36°, β = 62.08°, γ = 49.56°
Sites, in units of the cell vectors:
Rb 0.077 0.673 0.673
Rb 0.327 0.923 0.923
Rb 0.673 0.077 0.077
Rb 0.923 0.327 0.327
Mo 0.154 0.596 0.154
Mo 0.404 0.846 0.404
Mo 0.596 0.154 0.596
Mo 0.846 0.404 0.846
As 0.246 0.246 0.504
As 0.496 0.496 0.754
As 0.504 0.504 0.246
As 0.754 0.754 0.496
O 0.018 0.339 0.603
O 0.046 0.558 0.092
O 0.092 0.804 0.046
O 0.196 0.908 0.442
O 0.284 0.317 0.284
O 0.284 0.616 0.284
O 0.317 0.284 0.616
O 0.339 0.018 0.539
O 0.384 0.716 0.683
O 0.397 0.461 0.982
O 0.442 0.954 0.196
O 0.461 0.397 0.661
O 0.539 0.603 0.339
O 0.558 0.046 0.804
O 0.603 0.539 0.018
O 0.616 0.284 0.317
O 0.661 0.982 0.461
O 0.683 0.716 0.384
O 0.716 0.384 0.716
O 0.716 0.683 0.716
O 0.804 0.092 0.558
O 0.908 0.196 0.954
O 0.954 0.442 0.908
O 0.982 0.661 0.397